1.
A relaxed structure of ZrOs2Au, computed with PBE.

Computed properties:
Space group: F-43m (216)
Spin magnetization, Bohr magnetons per cell: 0.02
DFT formation energy, eV/f.u.: 1.21

The structure in POSCAR format:
```
ZrOs2Au
1.0
0.000 3.233 3.233
3.233 0.000 3.233
3.233 3.233 0.000
Os Au Zr
2 1 1
Direct
0.000 0.000 0.000
0.750 0.750 0.750
0.250 0.250 0.250
0.500 0.500 0.500
```

2.
A relaxed structure of P3Au5, computed with PBE.

Computed properties:
Space group: C2/c (15)

The structure in POSCAR format:
```
P3Au5
1.0
4.665 -4.050 0.000
4.665 4.050 0.000
-1.863 0.000 9.295
Au P
10 6
Direct
0.461 0.333 0.576
0.681 0.028 0.767
0.972 0.319 0.733
0.000 0.000 0.000
0.028 0.681 0.267
0.539 0.667 0.424
0.333 0.461 0.076
0.319 0.972 0.233
0.667 0.539 0.924
0.000 0.000 0.500
0.636 0.364 0.250
0.103 0.634 0.886
0.634 0.103 0.386
0.366 0.897 0.614
0.897 0.366 0.114
0.364 0.636 0.750
```

3.
A relaxed structure of PAu, computed with PBE.

Computed properties:
Energy above the lowest structure with this stoichiometry, eV/atom: 0.3085
Space group: Pmma (51)

The structure in POSCAR format:
```
PAu
1.0
-2.451 3.517 2.828
0.728 -1.681 2.722
7.273 4.432 0.791
P Au
4 4
Direct
0.250 0.000 0.188
0.750 0.000 0.812
0.250 0.500 0.006
0.750 0.500 0.994
0.750 0.000 0.257
0.000 0.500 0.500
0.250 0.000 0.743
0.500 0.500 0.500
```

4.
A relaxed structure of PAu, computed with PBE.

Computed properties:
Energy above the lowest structure with this stoichiometry, eV/atom: 0.3843
Space group: Fm-3m (225)

The structure in POSCAR format:
```
PAu
1.0
3.313 1.528 0.557
0.253 3.355 1.517
1.304 0.379 3.431
Au P
1 1
Direct
0.000 0.000 0.000
0.500 0.500 0.500
```

5.
A relaxed structure of PAu, computed with PBE.

Computed properties:
Energy above the lowest structure with this stoichiometry, eV/atom: 0.4038
Space group: F-43m (216)

The structure in POSCAR format:
```
PAu
1.0
-1.408 -3.021 2.110
-3.439 0.354 1.899
-3.165 -1.984 -1.266
P Au
1 1
Direct
0.250 0.250 0.250
0.000 0.000 0.000
```

6.
A relaxed structure of PAu, computed with PBE.

Computed properties:
Energy above the lowest structure with this stoichiometry, eV/atom: 0.4667
Space group: P6_3/mmc (194)

The structure in POSCAR format:
```
PAu
1.0
-0.707 2.924 2.510
-2.171 -0.368 -3.241
-3.613 -3.269 2.791
Au P
2 2
Direct
0.000 0.000 0.500
0.000 0.000 0.000
0.667 0.333 0.750
0.333 0.667 0.250
```

no.,V (Å³ per cell),uncorrected energy (eV per atom)
1,67.6,-8.264
2,351.2,-3.964
3,144.1,-4.162
4,35.5,-4.087
5,43.4,-4.067
6,74.6,-4.004